No. 1
# YP3

YP3 after structural relaxation (PBE-GGA, Alexandria via LeMat-Bulk).

Unit cell a=4.401 b=4.401 c=3.753 alpha=90.00 beta=90.00 gamma=97.80
Atoms (fractional coordinates):
Y 0.000 0.000 0.000
P 0.500 0.000 0.500
P 0.000 0.500 0.500
P 0.500 0.500 0.000

Values from the calculation:
Crystal system ... orthorhombic
Total DFT energy (no corrections) ... -5.9713 eV per atom
Symmetry ... Cmmm (65)

***

No. 2
# YP3

YP3 after structural relaxation (PBE-GGA, Alexandria via LeMat-Bulk).

Unit cell a=3.341 b=3.341 c=7.163 alpha=90.00 beta=90.00 gamma=109.39
Atoms (fractional coordinates):
P 0.000 0.000 0.520
P 0.000 0.000 0.980
P 0.500 0.500 0.750
Y 0.500 0.500 0.250

Values from the calculation:
Crystal system ... orthorhombic
Total DFT energy (no corrections) ... -5.6633 eV per atom
Symmetry ... Cmmm (65)

***

No. 3
# YP3

YP3 after structural relaxation (PBE-GGA, Alexandria via LeMat-Bulk).

Unit cell a=4.180 b=4.180 c=5.408 alpha=90.00 beta=90.00 gamma=120.00
Atoms (fractional coordinates):
P 0.000 0.000 0.043
P 0.000 0.000 0.457
P 0.667 0.333 0.250
Y 0.667 0.333 0.750

Values from the calculation:
Crystal system ... hexagonal
Total DFT energy (no corrections) ... -5.9724 eV per atom
Symmetry ... P-6m2 (187)